LiCuGePd after structural relaxation, computed with PBE.

Geometry as POSCAR:
```
LiCuGePd
1.0
-3.651 -1.752 1.270
-0.877 -0.312 4.141
-3.033 2.424 1.715
Cu Ge Li Pd
1 1 1 1
Direct
0.750 0.750 0.750
0.000 0.000 0.000
0.500 0.500 0.500
0.250 0.250 0.250
```

Summary:
- Distance to the lowest polymorph of the same formula: 0.0000 eV/atom



Li4Cu2GePd after structural relaxation, computed with PBE.

Geometry as POSCAR:
```
Li4Cu2GePd
1.0
4.243 0.000 0.000
0.000 4.243 0.000
0.000 0.000 5.945
Cu Ge Li Pd
2 1 4 1
Direct
0.500 0.000 0.267
0.000 0.500 0.733
0.000 0.000 0.500
0.000 0.000 0.000
0.000 0.500 0.246
0.500 0.500 0.500
0.500 0.000 0.754
0.500 0.500 0.000
```

Summary:
- Electronic total energy: -3.379 eV/atom



LiCuGePt after structural relaxation, computed with PBE.

Geometry as POSCAR:
```
LiCuGePt
1.0
-3.404 -1.060 2.310
-2.790 2.984 1.165
-3.869 0.091 -1.753
Cu Ge Li Pt
1 1 1 1
Direct
0.750 0.750 0.750
0.000 0.000 0.000
0.500 0.500 0.500
0.250 0.250 0.250
```

Summary:
- Distance to the lowest polymorph of the same formula: 0.0000 eV/atom
- M_tot: 0.0 μB per formula unit



Li4CuGe2Pt after structural relaxation, computed with PBE.

Geometry as POSCAR:
```
Li4CuGe2Pt
1.0
-0.676 -3.751 1.879
0.104 -1.918 -3.791
5.909 -0.785 0.559
Cu Ge Li Pt
1 2 4 1
Direct
0.000 0.000 0.000
0.500 0.000 0.248
0.000 0.500 0.752
0.500 0.500 0.000
0.000 0.500 0.245
0.000 0.000 0.500
0.500 0.000 0.755
0.500 0.500 0.500
```

Summary:
- Electronic total energy: -3.807 eV/atom
- M_tot: 0.0 μB per formula unit